[1]
Crystalline ReMoPCl2 at its relaxed geometry. Source: Alexandria, functional PBE-GGA.

a = 4.868 Å, b = 4.868 Å, c = 4.644 Å
α = 90.00°, β = 90.00°, γ = 90.00°
Positions (direct):
Mo 0.500 0.500 0.500
Cl 0.500 0.000 0.000
Cl 0.000 0.500 0.000
Re 0.000 0.000 0.000
P 0.000 0.000 0.500

## Properties
M_tot   1.125 μB per atom
E above lowest polymorph   0 meV per atom
D(E_F)   4.31 states/eV/f.u.
E_form (uncorrected)   1039.2 meV/atom


[2]
Crystalline ErScOs4 at its relaxed geometry. Source: Alexandria, functional PBE-GGA.

a = 5.283 Å, b = 5.283 Å, c = 5.283 Å
α = 60.00°, β = 60.00°, γ = 60.00°
Positions (direct):
Os 0.625 0.625 0.124
Os 0.625 0.124 0.625
Os 0.625 0.625 0.625
Os 0.124 0.625 0.625
Er 0.250 0.250 0.250
Sc 0.000 0.000 0.000

## Properties
Energy relative to the elements   -0.308 eV per atom
M_tot   0.000 μB per atom
D(E_F)   5.73 states/eV/f.u.


[3]
Crystalline Ac8Nd3Tm2 at its relaxed geometry. Source: Alexandria, functional PBE-GGA.

a = 7.422 Å, b = 7.259 Å, c = 11.571 Å
α = 63.30°, β = 73.69°, γ = 83.06°
Positions (direct):
Ac 0.756 0.502 0.348
Ac 0.798 0.536 0.935
Ac 0.591 0.070 0.289
Ac 0.244 0.498 0.652
Ac 0.409 0.930 0.711
Ac 0.089 0.929 0.336
Ac 0.911 0.071 0.664
Ac 0.202 0.464 0.065
Tm 0.242 0.384 0.386
Tm 0.758 0.616 0.614
Nd 0.000 0.000 0.000
Nd 0.509 0.224 0.892
Nd 0.491 0.776 0.108

## Properties
Energy relative to the elements   0.146 eV per atom
M_tot   0.000 μB per atom
D(E_F)   18.79 states/eV/f.u.


[4]
Crystalline SrGe3Se at its relaxed geometry. Source: Alexandria, functional PBE-GGA.

a = 5.230 Å, b = 5.230 Å, c = 5.230 Å
α = 90.00°, β = 90.00°, γ = 90.00°
Positions (direct):
Se 0.000 0.000 0.000
Ge 0.500 0.000 0.000
Ge 0.000 0.000 0.500
Ge 0.000 0.500 0.000
Sr 0.500 0.500 0.500

## Properties
M_tot   0.000 μB per atom
E above lowest polymorph   0 meV per atom
D(E_F)   2.01 states/eV/f.u.
E_form (uncorrected)   166.9 meV/atom


[5]
Crystalline MgCd2Ge2O6 at its relaxed geometry. Source: Alexandria, functional PBE-GGA.

a = 5.612 Å, b = 5.612 Å, c = 6.058 Å
α = 90.00°, β = 90.00°, γ = 120.00°
Positions (direct):
O 0.651 0.717 0.190
O 0.934 0.651 0.810
O 0.283 0.934 0.190
O 0.066 0.349 0.190
O 0.349 0.283 0.810
O 0.717 0.066 0.810
Ge 0.333 0.667 0.299
Ge 0.667 0.333 0.701
Mg 0.000 0.000 0.000
Cd 0.333 0.667 0.781
Cd 0.667 0.333 0.219

## Properties
M_tot   0.000 μB per atom
D(E_F)   5.16 states/eV/f.u.
E_form (uncorrected)   -1345.5 meV/atom


[6]
Crystalline BaSiI2O at its relaxed geometry. Source: Alexandria, functional PBE-GGA.

a = 6.195 Å, b = 6.195 Å, c = 3.770 Å
α = 90.00°, β = 90.00°, γ = 90.00°
Positions (direct):
I 0.000 0.500 0.000
I 0.500 0.000 0.000
O 0.000 0.000 0.500
Ba 0.500 0.500 0.500
Si 0.000 0.000 0.000

## Properties
M_tot   0.051 μB per atom
E above lowest polymorph   0 meV per atom
D(E_F)   2.24 states/eV/f.u.
E_form (uncorrected)   -994.9 meV/atom


[7]
Crystalline Hf2HgBi at its relaxed geometry. Source: Alexandria, functional PBE-GGA.

a = 4.862 Å, b = 4.862 Å, c = 7.938 Å
α = 72.17°, β = 72.17°, γ = 60.00°
Positions (direct):
Bi 0.500 0.500 0.500
Hf 0.131 0.131 0.606
Hf 0.869 0.869 0.394
Hg 0.000 0.000 0.000

## Properties
Energy relative to the elements   0.717 eV per atom
M_tot   0.160 μB per atom
E above lowest polymorph   697 meV per atom
D(E_F)   6.36 states/eV/f.u.


[8]
Crystalline SrPm2Cd9 at its relaxed geometry. Source: Alexandria, functional PBE-GGA.

a = 6.090 Å, b = 6.090 Å, c = 10.209 Å
α = 72.65°, β = 72.65°, γ = 60.00°
Positions (direct):
Cd 0.664 0.664 0.007
Cd 0.500 0.500 0.500
Cd 0.336 0.336 0.993
Cd 0.923 0.410 0.257
Cd 0.590 0.590 0.743
Cd 0.410 0.410 0.257
Cd 0.077 0.590 0.743
Cd 0.410 0.923 0.257
Cd 0.590 0.077 0.743
Sr 0.000 0.000 0.000
Pm 0.857 0.857 0.430
Pm 0.143 0.143 0.570

## Properties
Energy relative to the elements   -0.258 eV per atom
M_tot   0.000 μB per atom
D(E_F)   9.36 states/eV/f.u.


What is the formula in the third record?
Ac8Nd3Tm2


Which of these has the highest D(E_F)?
Ac8Nd3Tm2


Number 2 is which compound?
ErScOs4